1.
Below is crystalline CsTlCoH2 at its relaxed geometry, with properties calculated at the PBE-GGA level.

Values from the calculation:
- total DFT energy (no corrections) (eV per atom) = -2.0845
- crystal system = tetragonal

POSCAR file:
```
CsTlCoH2
1.0
4.3648 0.0000 0.0000
0.0000 7.7593 0.0000
0.0000 0.0000 4.3648
Cs H Tl Co
1 2 1 1
direct
0.0000 0.0000 0.0000
0.0000 0.0000 0.5000
0.5000 0.0000 0.0000
0.0000 0.5000 0.0000
0.5000 0.5000 0.5000
```

2.
Below is crystalline La7Nd2Tm at its relaxed geometry, with properties calculated at the PBE-GGA level.

Values from the calculation:
- DFT formation energy (eV/f.u.) = 1.44
- crystal system = monoclinic

POSCAR file:
```
La7Nd2Tm
1.0
-1.2737 2.4490 -2.1738
13.7175 1.1737 -6.7154
-14.0878 -5.7831 1.7393
La Tm Nd
7 1 2
direct
0.5000 0.3333 0.1362
0.0000 0.3100 0.6884
0.5000 0.8646 0.6675
0.5000 0.5000 0.5000
0.5000 0.6667 0.8638
0.0000 0.6900 0.3116
0.5000 0.1354 0.3325
0.0000 0.0000 0.0000
0.5000 0.2090 0.7928
0.5000 0.7910 0.2072
```

3.
Below is crystalline K2AcNbS4 at its relaxed geometry, with properties calculated at the PBE-GGA level.

Values from the calculation:
- E_form (uncorrected) (eV/atom) = -1.174
- crystal system = tetragonal

POSCAR file:
```
K2AcNbS4
1.0
6.7769 0.1423 0.2180
-2.7588 6.1915 -0.2180
-2.7588 -2.6913 5.5803
S K Nb Ac
4 2 1 1
direct
0.9583 0.6369 0.1962
0.0417 0.2379 0.6787
0.4407 0.8038 0.7621
0.5593 0.3213 0.3631
0.0000 0.0000 0.0000
0.5000 0.7500 0.2500
0.0000 0.5000 0.5000
0.5000 0.2500 0.7500
```

4.
Below is crystalline K2Np2SbSe6 at its relaxed geometry, with properties calculated at the PBE-GGA level.

Values from the calculation:
- E_form (uncorrected) (eV/atom) = -1.032
- crystal system = monoclinic

POSCAR file:
```
K2Np2SbSe6
1.0
-6.4667 0.1366 3.3968
2.5027 -6.2463 -2.8454
4.7909 0.2982 6.5792
Se K Np Sb
6 2 2 1
direct
0.0635 0.4017 0.6988
0.5983 0.9365 0.3012
0.9365 0.5983 0.3012
0.4017 0.0635 0.6988
0.7283 0.7283 0.7004
0.2717 0.2717 0.2996
0.1638 0.8362 0.0000
0.8362 0.1638 0.0000
0.3338 0.6662 0.5000
0.6662 0.3338 0.5000
0.0000 0.0000 0.5000
```

5.
Below is crystalline Hf3TiSb at its relaxed geometry, with properties calculated at the PBE-GGA level.

Values from the calculation:
- E_form (uncorrected) (eV/atom) = -0.102
- crystal system = monoclinic

POSCAR file:
```
Hf3TiSb
1.0
9.5478 0.9240 0.7273
2.9644 7.0251 -0.1356
2.9644 1.5188 6.8603
Hf Sb Ti
12 4 4
direct
0.5628 0.9570 0.6495
0.0928 0.3154 0.3395
0.0912 0.0550 0.7317
0.9088 0.9450 0.2683
0.4072 0.6605 0.6846
0.4088 0.2683 0.9450
0.5928 0.3395 0.3154
0.0628 0.6495 0.9570
0.5912 0.7317 0.0550
0.9372 0.3505 0.0430
0.4372 0.0430 0.3505
0.9072 0.6846 0.6605
0.7500 0.6148 0.3852
0.2500 0.3852 0.6148
0.2500 0.9807 0.0193
0.7500 0.0193 0.9807
0.3108 0.5710 0.1541
0.6892 0.4290 0.8459
0.8108 0.1541 0.5710
0.1892 0.8459 0.4290
```

6.
Below is crystalline Rb2CaCeTe4 at its relaxed geometry, with properties calculated at the PBE-GGA level.

Values from the calculation:
- E_form (uncorrected) (eV/atom) = -1.310
- crystal system = monoclinic

POSCAR file:
```
Rb2CaCeTe4
1.0
4.6741 0.0000 0.0000
0.0000 7.9803 0.1277
0.0000 -2.8191 8.4447
Rb Ce Te Ca
2 1 4 1
direct
0.5000 0.0000 0.5000
0.0000 0.5000 0.5000
0.0000 0.0000 0.0000
0.0000 0.2549 0.7999
0.5000 0.7762 0.8007
0.5000 0.2238 0.1993
0.0000 0.7451 0.2001
0.5000 0.5000 0.0000
```

7.
Below is crystalline SbRhAu2 at its relaxed geometry, with properties calculated at the PBE-GGA level.

Values from the calculation:
- E_form (uncorrected) (eV/atom) = -0.060
- crystal system = tetragonal

POSCAR file:
```
SbRhAu2
1.0
-0.2544 1.3970 -3.2625
2.9653 -1.7135 -0.9650
-3.2162 -4.5981 -1.7182
Rh Au Sb
1 2 1
direct
0.0000 0.0000 0.5203
0.5000 0.5000 0.2423
0.0000 0.0000 0.0220
0.5000 0.5000 0.7154
```

8.
Below is crystalline ZrCl3 at its relaxed geometry, with properties calculated at the PBE-GGA level.

Values from the calculation:
- E_form (uncorrected) (eV/atom) = -1.669
- crystal system = orthorhombic

POSCAR file:
```
ZrCl3
1.0
3.3936 0.0000 0.0000
0.0000 7.4572 0.4787
0.0000 5.4222 5.1431
Cl Zr
3 1
direct
0.5000 0.7500 0.7500
0.0000 0.3863 0.3864
0.0000 0.1137 0.1136
0.5000 0.2500 0.2500
```

9.
Below is crystalline Hf4FeCu at its relaxed geometry, with properties calculated at the PBE-GGA level.

Values from the calculation:
- DFT formation energy (eV/f.u.) = 1.87
- crystal system = tetragonal

POSCAR file:
```
Hf4FeCu
1.0
7.0269 -0.5643 0.0000
-3.3538 6.2006 0.0000
-1.8365 -2.8181 6.1952
Hf Fe Cu
8 2 2
direct
0.3085 0.5051 0.8033
0.7460 0.4829 0.7369
0.7018 0.5051 0.1967
0.2329 0.9960 0.2369
0.7460 0.0090 0.2631
0.7590 0.9960 0.7631
0.2551 0.5585 0.3033
0.2551 0.9518 0.6967
0.5364 0.0364 0.5000
0.7864 0.7864 0.0000
0.2114 0.2114 0.0000
0.9614 0.4614 0.5000
```

10.
Below is crystalline LaTm5Au4 at its relaxed geometry, with properties calculated at the PBE-GGA level.

Values from the calculation:
- DFT formation energy (eV/f.u.) = -7.09
- crystal system = tetragonal

POSCAR file:
```
LaTm5Au4
1.0
-0.4971 -1.8598 2.9569
3.2932 -1.2455 -0.2297
6.5404 15.3146 10.7320
Au Tm La
4 5 1
direct
0.0000 0.0000 0.7763
0.0000 0.0000 0.5910
0.0000 0.0000 0.4090
0.0000 0.0000 0.2237
0.5000 0.5000 0.6824
0.5000 0.5000 0.8617
0.5000 0.5000 0.5000
0.5000 0.5000 0.1383
0.5000 0.5000 0.3176
0.0000 0.0000 0.0000
```

11.
Below is crystalline ReHg2P at its relaxed geometry, with properties calculated at the PBE-GGA level.

Values from the calculation:
- DFT formation energy (eV/f.u.) = 4.01
- crystal system = tetragonal

POSCAR file:
```
ReHg2P
1.0
-1.2949 -4.0947 2.6484
-0.9169 1.4492 4.7452
-1.7462 1.7783 -4.3870
Hg P Re
2 1 1
direct
0.0000 0.0000 0.0000
0.2500 0.7500 0.5000
0.5000 0.5000 0.0000
0.7500 0.2500 0.5000
```

12.
Below is crystalline Mg2ZnTc at its relaxed geometry, with properties calculated at the PBE-GGA level.

Values from the calculation:
- DFT formation energy (eV/f.u.) = 0.47
- crystal system = monoclinic

POSCAR file:
```
Mg2ZnTc
1.0
5.0423 0.0079 0.0424
4.2263 2.7501 0.0424
0.9962 0.2964 4.8584
Tc Zn Mg
1 1 2
direct
0.5099 0.5099 0.5003
0.2400 0.2400 0.2633
0.9905 0.9905 0.0145
0.7595 0.7595 0.7219
```

Which size of the total moment belongs to each record? In order, 1.96 0.00 0.11 7.00 0.00 0.00 0.00 0.00 0.00 0.00 0.00 0.00 μB per cell.